# 1
First-principles (PBE) data for crystalline NaZn2Ir at its relaxed geometry, as listed in Alexandria.

CIF file:
```
data_NaZn2Ir
_chemical_formula_sum 'Na4 Zn8 Ir4'
_cell_length_a 4.608
_cell_length_b 4.608
_cell_length_c 17.005
_cell_angle_alpha 90.00
_cell_angle_beta 90.00
_cell_angle_gamma 90.00
_symmetry_space_group_name_H-M 'I -4 2 d'
_symmetry_Int_Tables_number 122
_symmetry_space_group_name_Hall 'I -4 2bw'
loop_
_atom_site_label
_atom_site_type_symbol
_atom_site_fract_x
_atom_site_fract_y
_atom_site_fract_z
Na1 Na 0.000 0.000 0.000
Zn1 Zn 0.104 0.250 0.625
Ir1 Ir 0.000 0.000 0.500
```

Values from the calculation:
For the total magnetization, the calculation gives 0.000 μB/atom. For the density of states at the Fermi level, the calculation gives 0.44 states/eV per atom. As for the energy of formation from the pure elements: 0.34 eV/atom. The crystal system is tetragonal.


# 2
First-principles (PBE) data for crystalline Na2Zn2Ir at its relaxed geometry, as listed in Alexandria.

CIF file:
```
data_Na2Zn2Ir
_chemical_formula_sum 'Na4 Zn4 Ir2'
_cell_length_a 8.461
_cell_length_b 8.461
_cell_length_c 2.612
_cell_angle_alpha 90.00
_cell_angle_beta 90.00
_cell_angle_gamma 90.00
_symmetry_space_group_name_H-M 'P 4/m b m'
_symmetry_Int_Tables_number 127
_symmetry_space_group_name_Hall '-P 4 2ab'
loop_
_atom_site_label
_atom_site_type_symbol
_atom_site_fract_x
_atom_site_fract_y
_atom_site_fract_z
Na1 Na 0.185 0.315 0.000
Zn1 Zn 0.112 0.612 0.500
Ir1 Ir 0.000 0.000 0.000
```

Values from the calculation:
For the total magnetization, the calculation gives 0.000 μB/atom. For the density of states at the Fermi level, the calculation gives 0.39 states/eV per atom. As for the energy of formation from the pure elements: 0.55 eV/atom. The crystal system is tetragonal.


# 3
First-principles (PBE) data for crystalline NaZn11Ir at its relaxed geometry, as listed in Alexandria.

CIF file:
```
data_NaZn11Ir
_chemical_formula_sum 'Na2 Zn22 Ir2'
_cell_length_a 5.189
_cell_length_b 12.878
_cell_length_c 6.681
_cell_angle_alpha 90.00
_cell_angle_beta 111.04
_cell_angle_gamma 90.00
_symmetry_space_group_name_H-M 'C 1 2/m 1'
_symmetry_Int_Tables_number 12
_symmetry_space_group_name_Hall '-C 2y'
loop_
_atom_site_label
_atom_site_type_symbol
_atom_site_fract_x
_atom_site_fract_y
_atom_site_fract_z
Na1 Na 0.000 0.000 0.000
Zn1 Zn 0.000 0.500 0.500
Zn2 Zn 0.118 0.391 0.215
Zn3 Zn 0.159 0.172 0.353
Zn4 Zn 0.250 0.250 0.000
Ir1 Ir 0.000 0.000 0.500
```

Values from the calculation:
For the total magnetization, the calculation gives 0.000 μB/atom. For the density of states at the Fermi level, the calculation gives 0.33 states/eV per atom. As for the energy of formation from the pure elements: -0.08 eV/atom. The crystal system is monoclinic.


# 4
First-principles (PBE) data for crystalline NaZnIr3 at its relaxed geometry, as listed in Alexandria.

CIF file:
```
data_NaZnIr3
_chemical_formula_sum 'Na1 Zn1 Ir3'
_cell_length_a 4.609
_cell_length_b 4.609
_cell_length_c 4.609
_cell_angle_alpha 90.00
_cell_angle_beta 90.00
_cell_angle_gamma 90.00
_symmetry_space_group_name_H-M 'P m -3 m'
_symmetry_Int_Tables_number 221
_symmetry_space_group_name_Hall '-P 4 2 3'
loop_
_atom_site_label
_atom_site_type_symbol
_atom_site_fract_x
_atom_site_fract_y
_atom_site_fract_z
Na1 Na 0.000 0.000 0.000
Zn1 Zn 0.500 0.500 0.500
Ir1 Ir 0.000 0.500 0.500
```

Values from the calculation:
For the total magnetization, the calculation gives 0.000 μB/atom. For the density of states at the Fermi level, the calculation gives 1.23 states/eV per atom. As for the energy of formation from the pure elements: 1.38 eV/atom. The crystal system is cubic.